Run P
Computed, not measured: an optimized crystal structure of SmHoAs2 at the PBE level of DFT.

Calculated values
Space group = R3m
Calculated density = 7.4 Mg/m³
N(E_F) = 0.37 states/eV/cell

Cell lengths 7.4640, 7.4640, 7.4640 Å; angles 32.06, 32.06, 32.06 degrees
Closest atoms and distances in Å follow each position.
Atoms (fractional coordinates):
1 Sm 0.0000 0.0000 0.0000  6 As 2.95-3.01
2 Ho 0.1714 0.1714 0.1714  6 As 2.93-2.98
3 As 0.4203 0.4203 0.4203  3 Ho 2.98, 3 Sm 3.01
4 As 0.5849 0.5849 0.5849  3 Ho 2.93, 3 Sm 2.95

=====

Run Q
Computed, not measured: an optimized crystal structure of SmHoAs2 at the PBE level of DFT.

Calculated values
Space group = I4_1/amd
Calculated density = 7.6 Mg/m³
N(E_F) = 0.92 states/eV/cell

Cell lengths 7.2014, 7.2014, 7.2014 Å; angles 131.81, 131.81, 70.53 degrees
Closest atoms and distances in Å follow each position.
Atoms (fractional coordinates):
1 Sm 0.3750 0.6250 0.7500  6 As 2.94-2.97
2 Sm 0.6250 0.3750 0.2500  6 As 2.94-2.97
3 Ho 0.1250 0.8750 0.2500  6 As 2.91-2.94
4 Ho 0.8750 0.1250 0.7500  6 As 2.91-2.94
5 As 0.1222 0.3722 0.7500  3 Ho 2.91-2.94, 3 Sm 2.94-2.97
6 As 0.3722 0.1222 0.2500  3 Ho 2.91-2.94, 3 Sm 2.94-2.97
7 As 0.6278 0.8778 0.7500  3 Ho 2.91-2.94, 3 Sm 2.94-2.97
8 As 0.8778 0.6278 0.2500  3 Ho 2.91-2.94, 3 Sm 2.94-2.97

=====

Which one is the most stable? From the structures above, run Q.